1.
ScBiAu2: relaxed, PBE.

Properties
The space group is P4/mmm. Its energy of formation is -0.4151 eV/atom. The density of states at the Fermi level is 2.507 states/eV per cell.

Cell lengths 4.5349, 4.3328, 4.3328 Å; angles 90.00, 90.00, 90.00 degrees
Positions (direct):
Au 0.0000 0.5000 0.0000
Au 0.0000 0.0000 0.5000
Sc 0.5000 0.0000 0.0000
Bi 0.5000 0.5000 0.5000

2.
Na2ZnH: relaxed, PBE.

Properties
The space group is I-42d. The calculation puts the excess energy over the best structure of this formula in the dataset at 112 meV/atom. The density of states at the Fermi level is 3.378 states/eV per cell.

Cell lengths 7.1779, 7.1779, 6.0394 Å; angles 53.54, 53.54, 90.00 degrees
Positions (direct):
Na 0.2246 0.6250 0.2500
Na 0.5254 0.1250 0.2500
Na 0.8750 0.7754 0.7500
Na 0.3750 0.4746 0.7500
H 0.2500 0.7500 0.5000
H 0.5000 0.5000 0.0000
Zn 0.0000 0.0000 0.0000
Zn 0.7500 0.2500 0.5000

3.
CaRuSe2: relaxed, PBE.

Properties
The space group is I-4m2. The calculation puts the excess energy over the best structure of this formula in the dataset at 654 meV/atom. The density of states at the Fermi level is 5.182 states/eV per cell.

Cell lengths 6.2102, 6.2102, 6.2102 Å; angles 143.93, 143.93, 51.92 degrees
Positions (direct):
Se 0.2500 0.7500 0.5000
Se 0.0000 0.0000 0.0000
Ca 0.5000 0.5000 0.0000
Ru 0.7500 0.2500 0.5000

4.
V2Pt7Rh3: relaxed, PBE.

Properties
The space group is P2/m. Its energy of formation is -0.0024 eV/atom. The density of states at the Fermi level is 16.112 states/eV per cell.

Cell lengths 2.7432, 4.3443, 16.4928 Å; angles 90.00, 94.80, 90.00 degrees
Positions (direct):
Pt 0.4000 0.0000 0.8018
Pt 0.9292 0.5000 0.8599
Pt 0.0708 0.5000 0.1401
Pt 0.7147 0.5000 0.4294
Pt 0.6000 0.0000 0.1982
Pt 0.0000 0.0000 0.0000
Pt 0.2853 0.5000 0.5706
Rh 0.8275 0.0000 0.6566
Rh 0.1725 0.0000 0.3434
Rh 0.5000 0.5000 0.0000
V 0.3574 0.5000 0.7168
V 0.6426 0.5000 0.2832